Entry 1
! PBE AuC2, relaxed; values from VASP
&SYSTEM
  ibrav = 0, nat = 3, ntyp = 2
/
ATOMIC_SPECIES
Au 196.97 Au.upf
C 12.01 C.upf
CELL_PARAMETERS angstrom
3.3582 0.0000 0.0000
0.0000 3.3582 0.0000
0.0000 0.0000 3.9191
ATOMIC_POSITIONS crystal
Au 0.0000 0.0000 0.0000
C 0.0000 0.0000 0.5000
C 0.5000 0.5000 0.0000
! - D(E_F): 1.63 states/eV/f.u.


Entry 2
! PBE AuC2, relaxed; values from VASP
&SYSTEM
  ibrav = 0, nat = 12, ntyp = 2
/
ATOMIC_SPECIES
Au 196.97 Au.upf
C 12.01 C.upf
CELL_PARAMETERS angstrom
2.6312 0.0000 0.0000
0.0000 18.9869 0.0000
0.0000 0.0000 2.5844
ATOMIC_POSITIONS crystal
Au 0.0000 0.1210 0.2500
Au 0.0000 0.8790 0.7500
Au 0.5000 0.3790 0.7500
Au 0.5000 0.6210 0.2500
C 0.0000 0.2559 0.7500
C 0.0000 0.4847 0.7500
C 0.0000 0.5153 0.2500
C 0.0000 0.7441 0.2500
C 0.5000 0.0153 0.2500
C 0.5000 0.2441 0.2500
C 0.5000 0.7559 0.7500
C 0.5000 0.9847 0.7500
! - D(E_F): 0.82 states/eV/f.u.


What is the stability order? It is entry 2, entry 1, from most stable to least stable.